Hf2Ge: relaxed, PBE.

POSCAR file:
```
Hf2Ge
1.0
0.000 5.846 5.846
5.846 0.000 5.846
5.846 5.846 0.000
Hf Ge
4 2
direct
0.000 0.000 0.000
0.000 0.000 0.500
0.000 0.500 0.000
0.500 0.000 0.000
0.125 0.125 0.125
0.875 0.875 0.875
```

Calculated values
The calculation puts the total energy at -35.273 eV for the cell shown. As for the space group: Fd-3m.